No. 1
4
Lattice="-1.439 0.417 -5.071 3.665 -0.146 -3.809 0.326 -4.205 -3.195" Properties=species:S:1:pos:R:3 comment="Pr2EuOs PBE-GGA relaxed" polymorph_energy_ev_per_atom=0.209 total_energy_ev_per_atom=-7.497 ef_mev_per_atom=269 dos_ef_per_ev_cell=4.902 pbc="T T T"
Pr 1.914 -2.951 -9.056
Eu 1.276 -1.967 -6.037
Os 0.000 0.000 0.000
Pr 0.638 -0.982 -3.019

No. 2
18
Lattice="3.830 0.000 0.000 0.000 8.066 0.000 0.001 0.000 8.067" Properties=species:S:1:pos:R:3 comment="GaCo2Ir6 PBE-GGA relaxed" total_energy_ev_per_atom=-7.849 ef_mev_per_atom=-26 dos_ef_per_ev_cell=20.987 pbc="T T T"
Ir 1.916 1.345 5.378
Co 1.915 6.642 5.458
Co 0.001 2.608 6.642
Ir 0.000 2.673 3.987
Ir 3.831 5.393 4.079
Ir 0.000 2.688 1.345
Co 1.915 1.425 2.609
Ga 1.915 4.033 0.000
Co 3.830 5.458 1.424
Ir 1.915 4.079 2.673
Ir 3.830 0.046 1.360
Ir 1.916 1.360 8.020
Ir 1.915 6.706 0.046
Ir 1.916 3.987 5.393
Ir 0.000 8.020 6.707
Ir 1.915 6.721 2.688
Ir 3.831 5.378 6.722
Ga 0.000 0.000 4.033

> Number 1 is which compound?

Pr2EuOs